A plane-wave DFT calculation with PBE was carried out for crystalline VInCu at its relaxed geometry.

Geometry as POSCAR:
```
VInCu
1.0
2.9046 0.0000 0.0000
0.0000 2.9046 0.0000
0.0000 0.0000 11.1883
V In Cu
2 2 2
Direct
0.0000 0.0000 0.0000 V
0.5000 0.5000 0.5000 V
0.0000 0.0000 0.3156 In
0.5000 0.5000 0.8156 In
0.0000 0.0000 0.6432 Cu
0.5000 0.5000 0.1432 Cu
```

Properties
Energy in eV for the cell shown: -30.710
Fermi-level density of states in states/eV/cell: 4.364
Magnetic moment in Bohr magnetons per cell: 0.0